ThNi5As3, relaxed, DFT PBE; theoretical density = 9.27 g/cm3; energy of formation = -555.3 meV per atom; volume = 14.936 A^3/atom; spin magnetization = 0.000 μB per cell; total energy = -110.55 eV/cell
1.0
1.876 -6.091 0.000
1.876 6.091 0.000
0.000 0.000 11.766
Th Ni As
2 10 6
direct
0.157 0.843 0.750
0.843 0.157 0.250
0.000 0.000 0.000
0.000 0.000 0.500
0.195 0.805 0.066
0.195 0.805 0.434
0.447 0.553 0.645
0.447 0.553 0.855
0.553 0.447 0.145
0.553 0.447 0.355
0.805 0.195 0.566
0.805 0.195 0.934
0.118 0.882 0.250
0.381 0.619 0.046
0.381 0.619 0.454
0.619 0.381 0.546
0.619 0.381 0.954
0.882 0.118 0.750